1.
# RbMgFe3Sb3, relaxed, DFT GGA-PBE
data_RbMgFe3Sb3
_chemical_formula_sum 'Rb1 Mg1 Fe3 Sb3'
_space_group_name_H-M_alt 'P 1'
_space_group_IT_number 1
_space_group_name_Hall 'P 1'
_cell_length_a 3.572
_cell_length_b 4.460
_cell_length_c 11.826
_cell_angle_alpha 90.00
_cell_angle_beta 90.00
_cell_angle_gamma 90.00
loop_
_atom_site_label
_atom_site_fract_x
_atom_site_fract_y
_atom_site_fract_z
Rb1 0.000 0.000 0.000
Mg1 0.500 0.000 0.664
Fe1 0.000 0.500 0.368
Fe2 0.000 0.500 0.610
Fe3 0.500 0.000 0.319
Sb1 0.000 0.000 0.477
Sb2 0.500 0.500 0.204
Sb3 0.500 0.500 0.791
# Calculated volume   23.55 Å³/atom
# Calculated total energy   -4.891 eV/atom
# Crystal system   orthorhombic
# Space group   Pmm2 (25)

---

2.
# GaSnPd, relaxed, DFT GGA-PBE
data_GaSnPd
_chemical_formula_sum 'Ga4 Sn4 Pd4'
_space_group_name_H-M_alt 'P 1'
_space_group_IT_number 1
_space_group_name_Hall 'P 1'
_cell_length_a 7.993
_cell_length_b 4.200
_cell_length_c 7.303
_cell_angle_alpha 90.00
_cell_angle_beta 90.00
_cell_angle_gamma 90.00
loop_
_atom_site_label
_atom_site_fract_x
_atom_site_fract_y
_atom_site_fract_z
Ga1 0.014 0.250 0.240
Ga2 0.486 0.750 0.740
Ga3 0.514 0.250 0.260
Ga4 0.986 0.750 0.760
Sn1 0.220 0.250 0.936
Sn2 0.280 0.750 0.436
Sn3 0.720 0.250 0.564
Sn4 0.780 0.750 0.064
Pd1 0.095 0.250 0.586
Pd2 0.405 0.750 0.086
Pd3 0.595 0.250 0.914
Pd4 0.905 0.750 0.414
# Calculated volume   20.43 Å³/atom
# Calculated total energy   -4.435 eV/atom
# Crystal system   orthorhombic
# Space group   Pnma (62)

---

3.
# GaAu15, relaxed, DFT GGA-PBE
data_GaAu15
_chemical_formula_sum 'Ga2 Au30'
_space_group_name_H-M_alt 'P 1'
_space_group_IT_number 1
_space_group_name_Hall 'P 1'
_cell_length_a 8.341
_cell_length_b 2.906
_cell_length_c 37.683
_cell_angle_alpha 90.00
_cell_angle_beta 90.14
_cell_angle_gamma 90.00
loop_
_atom_site_label
_atom_site_fract_x
_atom_site_fract_y
_atom_site_fract_z
Ga1 0.125 0.250 0.292
Ga2 0.875 0.750 0.708
Au1 0.117 0.250 0.739
Au2 0.123 0.250 0.822
Au3 0.125 0.250 0.059
Au4 0.125 0.250 0.138
Au5 0.125 0.250 0.217
Au6 0.125 0.250 0.901
Au7 0.125 0.250 0.980
Au8 0.367 0.750 0.261
Au9 0.374 0.750 0.178
Au10 0.375 0.750 0.020
Au11 0.375 0.750 0.099
Au12 0.375 0.750 0.708
Au13 0.375 0.750 0.784
Au14 0.375 0.750 0.862
Au15 0.375 0.750 0.941
Au16 0.625 0.250 0.059
Au17 0.625 0.250 0.138
Au18 0.625 0.250 0.216
Au19 0.625 0.250 0.292
Au20 0.625 0.250 0.901
Au21 0.625 0.250 0.980
Au22 0.626 0.250 0.822
Au23 0.633 0.250 0.739
Au24 0.875 0.750 0.020
Au25 0.875 0.750 0.099
Au26 0.875 0.750 0.783
Au27 0.875 0.750 0.862
Au28 0.875 0.750 0.941
Au29 0.877 0.750 0.178
Au30 0.883 0.750 0.261
# Calculated volume   28.54 Å³/atom
# ΔE to the lowest computed polymorph   0.017 eV/atom
# Calculated total energy   -3.209 eV/atom
# Crystal system   monoclinic
# Space group   P2_1/m (11)